No. 1
A plane-wave DFT calculation with PBE was carried out for FeNiP after structural relaxation.

Unit cell a=2.6911 b=2.6911 c=16.2316 alpha=90.00 beta=90.00 gamma=120.00
Site moments in Bohr magnetons follow the coordinates.
Sites, in units of the cell vectors:
Ni (0.6667, 0.3333, 0.8033)  0.20
Ni (0.3333, 0.6667, 0.1366)  0.20
Ni (0.0000, 0.0000, 0.4699)  0.20
Fe (0.6667, 0.3333, 0.2628)  1.40
Fe (0.0000, 0.0000, 0.9295)  1.40
Fe (0.3333, 0.6667, 0.5962)  1.40
P (0.6667, 0.3333, 0.0303)  -0.04
P (0.0000, 0.0000, 0.6969)  -0.04
P (0.3333, 0.6667, 0.3636)  -0.04

Output
ΔH_f (0 K)   -0.08 eV per atom
Symmetry   R3m



No. 2
A plane-wave DFT calculation with PBE was carried out for BI2BrO after structural relaxation.

Unit cell a=6.9471 b=6.9471 c=2.7685 alpha=90.00 beta=90.00 gamma=90.00
Sites, in units of the cell vectors:
O (0.0000, 0.0000, 0.5000)
I (0.5000, 0.0000, 0.0000)
I (0.0000, 0.5000, 0.0000)
Br (0.5000, 0.5000, 0.5000)
B (0.0000, 0.0000, 0.0000)

Output
Offset from the most stable computed form   0.0000 eV/atom
Formation energy without anion corrections   -0.34 eV per formula unit
Symmetry   P4/mmm



No. 3
A plane-wave DFT calculation with PBE was carried out for BaCuAg2Cl8 after structural relaxation.

Unit cell a=7.0219 b=7.0219 c=8.1190 alpha=115.62 beta=115.62 gamma=90.00
Site moments in Bohr magnetons follow the coordinates.
Sites, in units of the cell vectors:
Cl (0.6164, 0.5639, 0.5485)  0.07
Cl (0.8200, 0.4159, 0.9959)  0.00
Cl (0.5841, 0.8242, 0.0041)  0.00
Cl (0.9322, 0.9846, 0.5485)  0.07
Cl (0.4361, 0.0678, 0.4515)  0.07
Cl (0.0154, 0.3836, 0.4515)  0.07
Cl (0.1758, 0.5800, 0.9959)  0.00
Cl (0.4200, 0.1800, 0.0041)  0.00
Cu (0.7500, 0.2500, 0.5000)  0.38
Ba (0.0000, 0.0000, 0.0000)  0.00
Ag (0.2500, 0.7500, 0.5000)  0.02
Ag (0.5000, 0.5000, 0.0000)  0.00

Output
Formation energy without anion corrections   -9.40 eV per formula unit
Symmetry   I-4



No. 4
A plane-wave DFT calculation with PBE was carried out for Na3Dy2PbO6 after structural relaxation.

Unit cell a=5.9795 b=5.9795 c=5.9891 alpha=99.66 beta=99.66 gamma=119.94
Site moments in Bohr magnetons follow the coordinates.
Sites, in units of the cell vectors:
Dy (0.3332, 0.6668, 0.0000)  0.01
Dy (0.6668, 0.3332, 0.0000)  0.01
O (0.2753, 0.2753, 0.7799)  0.07
O (0.0732, 0.4214, 0.2180)  0.07
O (0.5786, 0.9268, 0.7820)  0.07
O (0.9268, 0.5786, 0.7820)  0.07
O (0.4214, 0.0732, 0.2180)  0.07
O (0.7247, 0.7247, 0.2201)  0.07
Na (0.1638, 0.8362, 0.5000)  0.00
Na (0.8362, 0.1638, 0.5000)  0.00
Na (0.5000, 0.5000, 0.5000)  0.00
Pb (0.0000, 0.0000, 0.0000)  0.14

Output
Formation energy without anion corrections   -26.78 eV per formula unit
Symmetry   C2/m



No. 5
A plane-wave DFT calculation with PBE was carried out for ReSeBr2 after structural relaxation.

Unit cell a=5.1805 b=5.1805 c=3.0234 alpha=90.00 beta=90.00 gamma=106.27
Sites, in units of the cell vectors:
Br (0.0000, 0.0000, 0.0000)
Br (0.5000, 0.5000, 0.0000)
Re (0.5000, 0.0000, 0.5000)
Se (0.0000, 0.5000, 0.5000)

Output
Offset from the most stable computed form   1.3953 eV/atom
Formation energy without anion corrections   5.75 eV per formula unit
Symmetry   Cmmm



No. 6
A plane-wave DFT calculation with PBE was carried out for AcCuTcP2 after structural relaxation.

Unit cell a=3.9065 b=3.9065 c=6.7433 alpha=106.84 beta=106.84 gamma=90.00
Sites, in units of the cell vectors:
Tc (0.7500, 0.2500, 0.5000)
P (0.6407, 0.6407, 0.2814)
P (0.3593, 0.3593, 0.7186)
Cu (0.2500, 0.7500, 0.5000)
Ac (0.0000, 0.0000, 0.0000)

Output
ΔH_f (0 K)   -0.69 eV per atom
Symmetry   I-4m2



No. 7
A plane-wave DFT calculation with PBE was carried out for CrRe2Ru after structural relaxation.

Unit cell a=2.6644 b=2.6644 c=8.5349 alpha=90.00 beta=90.00 gamma=110.70
Sites, in units of the cell vectors:
Re (0.5000, 0.5000, 0.2518)
Re (0.0000, 0.0000, 0.9873)
Cr (0.5000, 0.5000, 0.7478)
Ru (0.0000, 0.0000, 0.5132)

Output
Offset from the most stable computed form   0.1942 eV/atom
ΔH_f (0 K)   0.29 eV per atom
Symmetry   Cmm2



No. 8
A plane-wave DFT calculation with PBE was carried out for V5Cd after structural relaxation.

Unit cell a=3.0928 b=4.5256 c=6.6491 alpha=109.90 beta=90.00 gamma=90.00
Sites, in units of the cell vectors:
V (0.5000, 0.1865, 0.3729)
V (0.5000, 0.8135, 0.6271)
V (0.5000, 0.5000, 0.0000)
V (0.0000, 0.3354, 0.6707)
V (0.0000, 0.6646, 0.3293)
Cd (0.0000, 0.0000, 0.0000)

Output
ΔH_f (0 K)   0.17 eV per atom
Symmetry   Cmmm